No. 1
DFT (PBE) results for crystalline TmSbBr at its relaxed geometry.

CIF file:
```
data_TmSbBr
_chemical_formula_sum 'Tm1 Sb1 Br1'
_cell_length_a 5.0210
_cell_length_b 5.0210
_cell_length_c 3.5830
_cell_angle_alpha 90.00
_cell_angle_beta 90.00
_cell_angle_gamma 120.00
_symmetry_space_group_name_H-M 'P -6 m 2'
_symmetry_Int_Tables_number 187
_symmetry_space_group_name_Hall 'P -6 2'
loop_
_atom_site_label
_atom_site_fract_x
_atom_site_fract_y
_atom_site_fract_z
Tm1 0.0000 0.0000 0.0000
Sb1 0.6667 0.3333 0.5000
Br1 0.3333 0.6667 0.0000
```

Total magnetic moment in μB per formula unit: 0.0
Uncorrected energy in eV/f.u.: -12.697
Calculated density in g/cm³: 7.87
E_form (uncorrected) in eV per atom: -0.810
Energy above the most stable polymorph in this dataset in kJ/mol of atoms: 30.0

No. 2
DFT (PBE) results for crystalline V2Sb2Br at its relaxed geometry.

CIF file:
```
data_V2Sb2Br
_chemical_formula_sum 'V4 Sb4 Br2'
_cell_length_a 7.773
_cell_length_b 7.773
_cell_length_c 3.385
_cell_angle_alpha 90.00
_cell_angle_beta 90.00
_cell_angle_gamma 90.00
_symmetry_space_group_name_H-M 'P 4/m b m'
_symmetry_Int_Tables_number 127
_symmetry_space_group_name_Hall '-P 4 2ab'
loop_
_atom_site_label
_atom_site_fract_x
_atom_site_fract_y
_atom_site_fract_z
V1 0.145 0.355 0.000
Sb1 0.145 0.645 0.500
Br1 0.000 0.000 0.000
```

Total magnetic moment in μB per formula unit: 2.8
Uncorrected energy in eV/f.u.: -27.768
Calculated density in g/cm³: 6.91
E_form (uncorrected) in eV per atom: 0.077
Energy above the most stable polymorph in this dataset in kJ/mol of atoms: 0.0

No. 3
DFT (PBE) results for crystalline VSb2Br at its relaxed geometry.

CIF file:
```
data_VSb2Br
_chemical_formula_sum 'V4 Sb8 Br4'
_cell_length_a 6.110
_cell_length_b 6.110
_cell_length_c 14.786
_cell_angle_alpha 90.00
_cell_angle_beta 90.00
_cell_angle_gamma 90.00
_symmetry_space_group_name_H-M 'I -4 2 d'
_symmetry_Int_Tables_number 122
_symmetry_space_group_name_Hall 'I -4 2bw'
loop_
_atom_site_label
_atom_site_fract_x
_atom_site_fract_y
_atom_site_fract_z
V1 0.000 0.000 0.000
Sb1 0.150 0.250 0.125
Br1 0.000 0.000 0.500
```

Total magnetic moment in μB per formula unit: 1.1
Uncorrected energy in eV/f.u.: -17.335
Calculated density in g/cm³: 4.50
E_form (uncorrected) in eV per atom: 0.425
Energy above the most stable polymorph in this dataset in kJ/mol of atoms: 0.0

No. 4
DFT (PBE) results for crystalline V2SbBr2 at its relaxed geometry.

CIF file:
```
data_V2SbBr2
_chemical_formula_sum 'V4 Sb2 Br4'
_cell_length_a 8.508
_cell_length_b 8.508
_cell_length_c 3.265
_cell_angle_alpha 90.00
_cell_angle_beta 90.00
_cell_angle_gamma 90.00
_symmetry_space_group_name_H-M 'P 4/m b m'
_symmetry_Int_Tables_number 127
_symmetry_space_group_name_Hall '-P 4 2ab'
loop_
_atom_site_label
_atom_site_fract_x
_atom_site_fract_y
_atom_site_fract_z
V1 0.210 0.290 0.000
Sb1 0.000 0.000 0.500
Br1 0.127 0.627 0.500
```

Total magnetic moment in μB per formula unit: 6.1
Uncorrected energy in eV/f.u.: -23.458
Calculated density in g/cm³: 5.39
E_form (uncorrected) in eV per atom: 0.449

No. 5
DFT (PBE) results for crystalline V2SbBr2 at its relaxed geometry.

CIF file:
```
data_V2SbBr2
_chemical_formula_sum 'V4 Sb2 Br4'
_cell_length_a 4.712
_cell_length_b 4.712
_cell_length_c 10.156
_cell_angle_alpha 90.00
_cell_angle_beta 90.00
_cell_angle_gamma 90.00
_symmetry_space_group_name_H-M 'I 4/m m m'
_symmetry_Int_Tables_number 139
_symmetry_space_group_name_Hall '-I 4 2'
loop_
_atom_site_label
_atom_site_fract_x
_atom_site_fract_y
_atom_site_fract_z
V1 0.000 0.500 0.250
Sb1 0.000 0.000 0.000
Br1 0.000 0.000 0.348
```

Total magnetic moment in μB per formula unit: 4.6
Uncorrected energy in eV/f.u.: -24.324
Calculated density in g/cm³: 5.65
E_form (uncorrected) in eV per atom: 0.276

No. 6
DFT (PBE) results for crystalline VSbBr2 at its relaxed geometry.

CIF file:
```
data_VSbBr2
_chemical_formula_sum 'V3 Sb3 Br6'
_cell_length_a 3.5538
_cell_length_b 3.5538
_cell_length_c 35.2290
_cell_angle_alpha 90.00
_cell_angle_beta 90.00
_cell_angle_gamma 120.00
_symmetry_space_group_name_H-M 'R -3 m'
_symmetry_Int_Tables_number 166
_symmetry_space_group_name_Hall '-R 3 2"'
loop_
_atom_site_label
_atom_site_fract_x
_atom_site_fract_y
_atom_site_fract_z
V1 0.0000 0.0000 0.0000
Sb1 0.0000 0.0000 0.5000
Br1 0.0000 0.0000 0.3783
```

Total magnetic moment in μB per formula unit: 2.9
Uncorrected energy in eV/f.u.: -17.656
Calculated density in g/cm³: 4.30
E_form (uncorrected) in eV per atom: -0.267
Energy above the most stable polymorph in this dataset in kJ/mol of atoms: 0.0

- Among the records above, which one has the lowest E_form (uncorrected)?
  TmSbBr